Entry 1:
Computed, not measured: GaCoB2Te after structural relaxation at the PBE level of DFT. Values from VASP.

```
&SYSTEM
  ibrav = 0, nat = 5, ntyp = 4
/
ATOMIC_SPECIES
Ga 69.72 Ga.upf
Co 58.93 Co.upf
B 10.81 B.upf
Te 127.60 Te.upf
ATOMIC_POSITIONS angstrom
Ga 0.000 0.000 0.000
Co 2.228 2.228 0.000
B 0.000 2.228 2.363
B 2.228 0.000 2.363
Te 2.228 2.228 2.363
CELL_PARAMETERS angstrom
4.456 0.000 0.000
0.000 4.456 0.000
0.000 0.000 4.725
```

Output
**ΔE_f (raw)**: 1.84 eV per atom
**Size of the total moment**: 0.17 Bohr magnetons per cell

***

Entry 2:
Computed, not measured: ThGaCo3B after structural relaxation at the PBE level of DFT. Values from VASP.

```
&SYSTEM
  ibrav = 0, nat = 12, ntyp = 4
/
ATOMIC_SPECIES
Th 232.04 Th.upf
Ga 69.72 Ga.upf
Co 58.93 Co.upf
B 10.81 B.upf
ATOMIC_POSITIONS angstrom
Th 2.666 3.055 4.317
Th 2.666 -3.055 1.439
Ga 2.666 4.219 1.439
Ga 2.666 -4.219 4.317
Co 1.385 0.000 0.000
Co 1.385 0.000 2.878
Co 2.666 1.851 1.439
Co 2.666 -1.851 4.317
Co 3.946 0.000 0.000
Co 3.946 0.000 2.878
B 2.666 0.162 4.317
B 2.666 -0.162 1.439
CELL_PARAMETERS angstrom
2.666 -5.586 0.000
2.666 5.586 0.000
0.000 0.000 5.756
```

Output
**Size of the total moment**: 0.02 Bohr magnetons per cell
**Formation energy**: -342 meV/atom

***

Entry 3:
Computed, not measured: Th2GaCo12B3 after structural relaxation at the PBE level of DFT. Values from VASP.

```
&SYSTEM
  ibrav = 0, nat = 18, ntyp = 4
/
ATOMIC_SPECIES
Th 232.04 Th.upf
Ga 69.72 Ga.upf
Co 58.93 Co.upf
B 10.81 B.upf
ATOMIC_POSITIONS angstrom
Th 0.000 0.000 1.627
Th 0.000 0.000 14.484
Ga 0.000 0.000 8.056
Co -2.015 -1.163 7.304
Co 0.000 -1.606 5.815
Co -1.391 0.803 5.815
Co 0.000 -2.326 8.808
Co -2.015 1.163 8.808
Co -1.391 -0.803 10.296
Co 1.391 0.803 5.815
Co 2.015 -1.163 7.304
Co 0.000 2.326 7.304
Co 1.391 -0.803 10.296
Co 0.000 1.606 10.296
Co 2.015 1.163 8.808
B -1.767 -1.020 5.371
B -1.767 1.020 10.741
B 0.000 2.040 5.371
CELL_PARAMETERS angstrom
3.534 2.040 5.371
-3.534 2.040 5.371
0.000 -4.081 5.371
```

Output
**Size of the total moment**: 7.79 Bohr magnetons per cell
**Formation energy**: 103 meV/atom

***

Entry 4:
Computed, not measured: Ti2GaCo5B2 after structural relaxation at the PBE level of DFT. Values from VASP.

```
&SYSTEM
  ibrav = 0, nat = 20, ntyp = 4
/
ATOMIC_SPECIES
Ti 47.87 Ti.upf
Ga 69.72 Ga.upf
Co 58.93 Co.upf
B 10.81 B.upf
ATOMIC_POSITIONS angstrom
Ti 1.480 2.735 0.000
Ti 2.735 6.950 0.000
Ti 5.694 1.480 0.000
Ti 6.950 5.694 0.000
Ga 0.000 0.000 0.000
Ga 4.215 4.215 0.000
Co 0.000 4.215 1.498
Co 0.593 6.570 1.498
Co 1.859 0.593 1.498
Co 2.356 4.807 1.498
Co 3.622 2.356 1.498
Co 4.215 0.000 1.498
Co 4.807 6.074 1.498
Co 6.074 3.622 1.498
Co 6.570 7.837 1.498
Co 7.837 1.859 1.498
B 1.025 5.240 0.000
B 3.190 1.025 0.000
B 5.240 7.404 0.000
B 7.404 3.190 0.000
CELL_PARAMETERS angstrom
8.429 0.000 0.000
0.000 8.429 0.000
0.000 0.000 2.996
```

Output
**Size of the total moment**: 0.00 Bohr magnetons per cell
**Formation energy**: -571 meV/atom

***

Entry 5:
Computed, not measured: Tm3Ga2Co3B after structural relaxation at the PBE level of DFT. Values from VASP.

```
&SYSTEM
  ibrav = 0, nat = 9, ntyp = 4
/
ATOMIC_SPECIES
Tm 168.93 Tm.upf
Ga 69.72 Ga.upf
Co 58.93 Co.upf
B 10.81 B.upf
ATOMIC_POSITIONS angstrom
Tm -1.276 2.210 0.000
Tm 2.551 0.000 0.000
Tm 2.202 3.814 0.000
Ga 0.000 4.016 1.745
Ga 3.478 2.008 1.745
Co -2.756 4.774 1.745
Co 0.722 1.250 1.745
Co 5.512 0.000 1.745
B 0.000 0.000 0.000
CELL_PARAMETERS angstrom
6.955 0.000 0.000
-3.478 6.023 0.000
0.000 0.000 3.490
```

Output
**Size of the total moment**: 0.00 Bohr magnetons per cell
**Formation energy**: -352 meV/atom

***

Entry 6:
Computed, not measured: Tm2GaCo5B2 after structural relaxation at the PBE level of DFT. Values from VASP.

```
&SYSTEM
  ibrav = 0, nat = 20, ntyp = 4
/
ATOMIC_SPECIES
Tm 168.93 Tm.upf
Ga 69.72 Ga.upf
Co 58.93 Co.upf
B 10.81 B.upf
ATOMIC_POSITIONS angstrom
Tm 1.587 2.885 0.000
Tm 2.885 7.357 0.000
Tm 6.058 1.587 0.000
Tm 7.357 6.058 0.000
Ga 0.000 0.000 0.000
Ga 4.472 4.472 0.000
Co 0.000 4.472 1.515
Co 0.610 6.919 1.515
Co 2.025 0.610 1.515
Co 2.447 5.082 1.515
Co 3.862 2.447 1.515
Co 4.472 0.000 1.515
Co 5.082 6.496 1.515
Co 6.496 3.862 1.515
Co 6.919 8.334 1.515
Co 8.334 2.025 1.515
B 1.060 5.532 0.000
B 3.411 1.060 0.000
B 5.532 7.883 0.000
B 7.883 3.411 0.000
CELL_PARAMETERS angstrom
8.944 0.000 0.000
0.000 8.944 0.000
0.000 0.000 3.030
```

Output
**Size of the total moment**: 0.00 Bohr magnetons per cell
**Formation energy**: -454 meV/atom

***

Entry 7:
Computed, not measured: Ga2CoBW after structural relaxation at the PBE level of DFT. Values from VASP.

```
&SYSTEM
  ibrav = 0, nat = 5, ntyp = 4
/
ATOMIC_SPECIES
Ga 69.72 Ga.upf
Co 58.93 Co.upf
B 10.81 B.upf
W 183.84 W.upf
ATOMIC_POSITIONS angstrom
Ga 0.000 2.138 0.000
Ga 2.138 0.000 0.000
Co 0.000 0.000 1.820
B 0.000 0.000 0.000
W 2.138 2.138 1.820
CELL_PARAMETERS angstrom
4.276 0.000 0.000
0.000 4.276 0.000
0.000 0.000 3.640
```

Output
**Size of the total moment**: 0.01 Bohr magnetons per cell
**Formation energy**: 642 meV/atom

***

Entry 8:
Computed, not measured: Zn2GaCo5B2 after structural relaxation at the PBE level of DFT. Values from VASP.

```
&SYSTEM
  ibrav = 0, nat = 20, ntyp = 4
/
ATOMIC_SPECIES
Zn 65.41 Zn.upf
Ga 69.72 Ga.upf
Co 58.93 Co.upf
B 10.81 B.upf
ATOMIC_POSITIONS angstrom
Zn 1.559 2.823 0.000
Zn 2.823 7.205 0.000
Zn 5.940 1.559 0.000
Zn 7.205 5.940 0.000
Ga 0.000 0.000 0.000
Ga 4.382 4.382 0.000
Co 0.000 4.382 1.361
Co 0.592 6.835 1.361
Co 1.929 0.592 1.361
Co 2.453 4.974 1.361
Co 3.790 2.453 1.361
Co 4.382 0.000 1.361
Co 4.974 6.310 1.361
Co 6.310 3.790 1.361
Co 6.835 8.172 1.361
Co 8.172 1.929 1.361
B 1.091 5.473 0.000
B 3.291 1.091 0.000
B 5.473 7.672 0.000
B 7.672 3.291 0.000
CELL_PARAMETERS angstrom
8.764 0.000 0.000
0.000 8.764 0.000
0.000 0.000 2.722
```

Output
**Size of the total moment**: 0.00 Bohr magnetons per cell
**Formation energy**: -217 meV/atom